(1)
An optimized crystal structure of Ga2Se2O7, computed with PBE.

Cell: 6.6688 12.8788 13.7779 Å, 90.00 90.00 90.00°
Positions (direct):
Ga1 0.2500 0.7500 0.6701
Ga2 0.4752 0.3790 0.4691
Ga3 0.0248 0.3790 0.9691
Ga4 0.4752 0.1210 0.9691
Ga5 0.7500 0.2500 0.3299
Ga6 0.9752 0.6210 0.0309
Ga7 0.0248 0.1210 0.4691
Ga8 0.2500 0.2500 0.7943
Ga9 0.9752 0.8790 0.5309
Ga10 0.2500 0.7500 0.1701
Ga11 0.5248 0.8790 0.0309
Ga12 0.7500 0.7500 0.7057
Ga13 0.5248 0.6210 0.5309
Ga14 0.7500 0.2500 0.8299
Ga15 0.7500 0.7500 0.2057
Ga16 0.2500 0.2500 0.2943
O1 0.2930 0.1298 0.2173
O2 0.7876 0.3651 0.4421
O3 0.7070 0.8702 0.7827
O4 0.1782 0.3928 0.4520
O5 0.5121 0.4734 0.5873
O6 0.7070 0.6298 0.2827
O7 0.5136 0.7633 0.9415
O8 0.8218 0.8928 0.0480
O9 0.7930 0.8702 0.2827
O10 0.2070 0.3702 0.2173
O11 0.2002 0.6404 0.7722
O12 0.0167 0.2029 0.3506
O13 0.7002 0.1404 0.2278
O14 0.7124 0.3651 0.9421
O15 0.0121 0.9734 0.4127
O16 0.9833 0.7971 0.6494
O17 0.3218 0.3928 0.9520
O18 0.9864 0.7633 0.4415
O19 0.7002 0.3596 0.7278
O20 0.0136 0.2633 0.0585
O21 0.4864 0.2367 0.0585
O22 0.4879 0.9734 0.9127
O23 0.7124 0.1349 0.4421
O24 0.5167 0.7029 0.6494
O25 0.8218 0.6072 0.5480
O26 0.2998 0.8596 0.7722
O27 0.7998 0.1404 0.7278
O28 0.7998 0.3596 0.2278
O29 0.2002 0.8596 0.2722
O30 0.9879 0.4734 0.0873
O31 0.7876 0.1349 0.9421
O32 0.4864 0.2633 0.5585
O33 0.3218 0.1072 0.4520
O34 0.2070 0.1298 0.7173
O35 0.9864 0.7367 0.9415
O36 0.6782 0.6072 0.0480
O37 0.4879 0.5266 0.4127
O38 0.6782 0.8928 0.5480
O39 0.0167 0.2971 0.8506
O40 0.2876 0.6349 0.0579
O41 0.2998 0.6404 0.2722
O42 0.9833 0.7029 0.1494
O43 0.5136 0.7367 0.4415
O44 0.5121 0.0266 0.0873
O45 0.2124 0.8651 0.0579
O46 0.9879 0.0266 0.5873
O47 0.0136 0.2367 0.5585
O48 0.4833 0.2971 0.3506
O49 0.2876 0.8651 0.5579
O50 0.0121 0.5266 0.9127
O51 0.4833 0.2029 0.8506
O52 0.1782 0.1072 0.9520
O53 0.2124 0.6349 0.5579
O54 0.5167 0.7971 0.1494
O55 0.7930 0.6298 0.7827
O56 0.2930 0.3702 0.7173
Se1 0.4810 0.6354 0.9698
Se2 0.0077 0.5543 0.7852
Se3 0.5077 0.4457 0.7148
Se4 0.9923 0.4457 0.2148
Se5 0.9810 0.1354 0.0302
Se6 0.5077 0.0543 0.2148
Se7 0.4923 0.5543 0.2852
Se8 0.5190 0.1354 0.5302
Se9 0.4923 0.9457 0.7852
Se10 0.0190 0.8646 0.9698
Se11 0.9810 0.3646 0.5302
Se12 0.4810 0.8646 0.4698
Se13 0.9923 0.0543 0.7148
Se14 0.0190 0.6354 0.4698
Se15 0.5190 0.3646 0.0302
Se16 0.0077 0.9457 0.2852

electronic total energy = -491.50 eV per cell
total magnetization = 0.00 μB per cell
formation energy (no corrections) = -1.25 eV per atom
SG = No. 56

(2)
An optimized crystal structure of GaSe3O, computed with PBE.

Cell: 4.9157 4.9157 4.9157 Å, 90.00 90.00 90.00°
Positions (direct):
Se1 0.5000 0.0000 0.0000
Se2 0.0000 0.5000 0.0000
Se3 0.0000 0.0000 0.5000
O1 0.5000 0.5000 0.5000
Ga1 0.0000 0.0000 0.0000

electronic total energy = -13.47 eV per cell
total magnetization = 0.00 μB per cell
formation energy (no corrections) = 0.99 eV per atom
SG = No. 221

(3)
An optimized crystal structure of GaSeO4, computed with PBE.

Cell: 4.9291 5.1694 6.1340 Å, 114.92 115.37 90.00°
Positions (direct):
O1 0.2266 0.2512 0.3072
O2 0.3142 0.5032 0.8042
O3 0.7734 0.7488 0.6928
O4 0.6858 0.4968 0.1958
O5 0.7266 0.0561 0.3072
O6 0.8142 0.3011 0.8042
O7 0.2734 0.9439 0.6928
O8 0.1858 0.6989 0.1958
Se1 0.0000 0.5000 0.5000
Se2 0.5000 0.0000 0.5000
Ga1 0.2500 0.2887 0.0000
Ga2 0.7500 0.7113 0.0000

electronic total energy = -61.07 eV per cell
total magnetization = 0.00 μB per cell
formation energy (no corrections) = -0.70 eV per atom
SG = No. 15

(4)
An optimized crystal structure of GaSe2O, computed with PBE.

Cell: 5.0985 5.0985 7.3764 Å, 69.78 69.78 90.00°
Positions (direct):
Ga1 0.7500 0.2500 0.5000
Ga2 0.0000 0.0000 0.0000
Se1 0.5625 0.1250 0.2500
Se2 0.1875 0.6250 0.2500
Se3 0.8750 0.8125 0.7500
Se4 0.3750 0.4375 0.7500
O1 0.5000 0.5000 0.0000
O2 0.2500 0.7500 0.5000

electronic total energy = -29.42 eV per cell
total magnetization = 0.00 μB per cell
formation energy (no corrections) = 0.06 eV per atom
SG = No. 122

(5)
An optimized crystal structure of GaSe2O5, computed with PBE.

Cell: 5.7604 7.9097 10.1065 Å, 90.00 90.00 90.00°
Positions (direct):
O1 0.5461 0.3740 0.5697
O2 0.1572 0.3202 0.7060
O3 0.6572 0.3202 0.2940
O4 0.8428 0.6798 0.2940
O5 0.2500 0.5000 0.9330
O6 0.9539 0.6260 0.5697
O7 0.4539 0.8740 0.9303
O8 0.3428 0.8202 0.2060
O9 0.0461 0.3740 0.4303
O10 0.1572 0.1798 0.2060
O11 0.5461 0.1260 0.0697
O12 0.9539 0.8740 0.0697
O13 0.2500 0.0000 0.4330
O14 0.8428 0.8202 0.7940
O15 0.7500 0.5000 0.0670
O16 0.4539 0.6260 0.4303
O17 0.7500 0.0000 0.5670
O18 0.0461 0.1260 0.9303
O19 0.6572 0.1798 0.7940
O20 0.3428 0.6798 0.7060
Se1 0.5302 0.3498 0.1426
Se2 0.0302 0.3498 0.8574
Se3 0.0302 0.1502 0.3574
Se4 0.5302 0.1502 0.6426
Se5 0.4698 0.6502 0.8574
Se6 0.9698 0.8498 0.6426
Se7 0.4698 0.8498 0.3574
Se8 0.9698 0.6502 0.1426
Ga1 0.2500 0.0000 0.0650
Ga2 0.7500 0.5000 0.4350
Ga3 0.7500 0.0000 0.9350
Ga4 0.2500 0.5000 0.5650

electronic total energy = -165.92 eV per cell
total magnetization = 0.00 μB per cell
formation energy (no corrections) = -0.84 eV per atom
SG = No. 60

(6)
An optimized crystal structure of SrGaSe2O8, computed with PBE.

Cell: 5.5435 5.5435 7.0736 Å, 90.00 90.00 120.00°
Positions (direct):
Se1 0.3333 0.6667 0.7550
Se2 0.6667 0.3333 0.2450
O1 0.3333 0.6667 0.5195
O2 0.6667 0.3333 0.4805
O3 0.8441 0.6881 0.1871
O4 0.1559 0.8441 0.8129
O5 0.8441 0.1559 0.1871
O6 0.6881 0.8441 0.8129
O7 0.1559 0.3119 0.8129
O8 0.3119 0.1559 0.1871
Sr1 0.0000 0.0000 0.5000
Ga1 0.0000 0.0000 0.0000

electronic total energy = -65.94 eV per cell
total magnetization = 0.00 μB per cell
formation energy (no corrections) = -1.22 eV per atom
SG = No. 164

(7)
An optimized crystal structure of SrGaSeO6, computed with PBE.

Cell: 5.0815 5.0815 5.4159 Å, 90.00 90.00 60.00°
Each line ends with the local moment (μB).
Positions (direct):
O1 0.6334 0.9740 0.3049  0.15
O2 0.3926 0.6334 0.3049  0.15
O3 0.9739 0.6334 0.6951  0.15
O4 0.3926 0.9740 0.6951  0.15
O5 0.9739 0.3926 0.3049  0.15
O6 0.6334 0.3926 0.6951  0.15
Sr1 0.0000 0.0000 0.0000  0.00
Ga1 0.3333 0.3333 0.5000  0.01
Se1 0.6666 0.6667 0.5000  -0.02

electronic total energy = -50.68 eV per cell
total magnetization = 1.08 μB per cell
formation energy (no corrections) = -1.41 eV per atom
SG = No. 149

(8)
An optimized crystal structure of SrGa2SeO6, computed with PBE.

Cell: 6.5354 7.1135 7.1135 Å, 73.09 69.08 69.08°
Positions (direct):
O1 0.0770 0.7422 0.6221
O2 0.9390 0.3720 0.9010
O3 0.6684 0.8005 0.0206
O4 0.4390 0.9010 0.3720
O5 0.1684 0.0206 0.8005
O6 0.3316 0.1995 0.9794
O7 0.5770 0.6221 0.7422
O8 0.4230 0.3779 0.2578
O9 0.9230 0.2578 0.3779
O10 0.0610 0.6280 0.0990
O11 0.5610 0.0990 0.6280
O12 0.8316 0.9794 0.1995
Ga1 0.1723 0.3497 0.2041
Ga2 0.3277 0.7959 0.6503
Ga3 0.8277 0.6503 0.7959
Ga4 0.6723 0.2041 0.3497
Se1 0.2500 0.2474 0.7526
Se2 0.7500 0.7526 0.2474
Sr1 0.7500 0.1837 0.8163
Sr2 0.2500 0.8163 0.1837

electronic total energy = -115.99 eV per cell
total magnetization = 0.00 μB per cell
formation energy (no corrections) = -1.70 eV per atom
SG = No. 15

(9)
An optimized crystal structure of Tl2GaSeO6, computed with PBE.

Cell: 5.1747 5.9306 5.9306 Å, 120.00 90.00 90.00°
Positions (direct):
O1 0.2213 0.2807 0.1404
O2 0.7787 0.7193 0.8596
O3 0.7787 0.1404 0.8596
O4 0.7787 0.1404 0.2807
O5 0.2213 0.8596 0.1404
O6 0.2213 0.8596 0.7193
Tl1 0.8587 0.6667 0.3333
Tl2 0.1413 0.3333 0.6667
Ga1 0.5000 0.0000 0.0000
Se1 0.0000 0.0000 0.0000

electronic total energy = -48.65 eV per cell
total magnetization = 0.00 μB per cell
formation energy (no corrections) = -0.77 eV per atom
SG = No. 164

The highest electronic total energy belongs to which entry?
GaSe3O

What is the total magnetization in the sixth record?
0.00 μB per cell